A relaxed structure of RbLiV2Au, computed with PBE.

a b c (Å): 5.1128 5.1128 5.3259
angles (deg): 90.00 90.00 90.00
Space group P4/mmm (No. 123)
Symmetry-distinct sites (fractional):
Rb1 0.0000 0.0000 0.0000 x1
Li1 0.5000 0.5000 0.0000 x1
V1 0.0000 0.5000 0.5000 x2
Au1 0.5000 0.5000 0.5000 x1

Calculated total energy ... -4.046 eV/atom
Crystal system ... tetragonal
E_form ... 0.83 eV per atom